(1)
The following is a PBE-GGA calculation of crystalline BeMo2C at its relaxed geometry, from Alexandria via LeMat-Bulk.

## Properties
E = -0.5850 Ry/atom

abc: 5.599 5.599 5.599
angles: 90.00 90.00 90.00
Space group Fm-3m (No. 225)
One atom of each set of equivalent atoms:
Be (0.000, 0.000, 0.000)
Mo (0.250, 0.250, 0.250)
C (0.000, 0.000, 0.500)



(2)
The following is a PBE-GGA calculation of crystalline BeMoC3 at its relaxed geometry, from Alexandria via LeMat-Bulk.

## Properties
E = -0.4686 Ry/atom

abc: 3.503 3.503 3.503
angles: 90.00 90.00 90.00
Space group Pm-3m (No. 221)
One atom of each set of equivalent atoms:
Be (0.000, 0.000, 0.000)
Mo (0.500, 0.500, 0.500)
C (0.000, 0.000, 0.500)



(3)
The following is a PBE-GGA calculation of crystalline Be2Mo2C at its relaxed geometry, from Alexandria via LeMat-Bulk.

## Properties
E = -0.4341 Ry/atom

abc: 3.482 3.482 11.549
angles: 90.00 90.00 90.00
Space group I4/mmm (No. 139)
One atom of each set of equivalent atoms:
Be (0.000, 0.000, 0.089)
Mo (0.000, 0.500, 0.250)
C (0.000, 0.000, 0.500)